This record from Alexandria describes a geometry-optimized La3NdSm8 structure. The functional is GGA-PBE.

```
data_La3NdSm8
_cell_length_a 6.5764
_cell_length_b 11.6611
_cell_length_c 11.6720
_cell_angle_alpha 90.00
_cell_angle_beta 90.00
_cell_angle_gamma 90.00
_symmetry_space_group_name_H-M 'I m m m'
_symmetry_Int_Tables_number 71
_symmetry_space_group_name_Hall '-I 2 2'
loop_
_atom_site_label
_atom_site_fract_x
_atom_site_fract_y
_atom_site_fract_z
_atom_site_occupancy
La1 0.0000 0.0000 0.0000 1
La2 0.0000 0.5000 0.2477 1
Nd1 0.0000 0.0000 0.5000 1
Sm1 0.0000 0.1707 0.2504 1
Sm2 0.2477 0.2530 0.0000 1
```

## Properties
Total energy ... -54.13 eV/f.u.
Calculated density ... 6.544 g/cm3
Total magnetic moment ... 0.00 μB per formula unit
Formation energy from the elements ... 0.2643 eV/atom
D(E_F) ... 15.00 states/eV/f.u.


This record from Alexandria describes a geometry-optimized MgFe2As structure. The functional is GGA-PBE.

```
data_MgFe2As
_cell_length_a 2.9695
_cell_length_b 2.9695
_cell_length_c 24.3753
_cell_angle_alpha 90.00
_cell_angle_beta 90.00
_cell_angle_gamma 120.00
_symmetry_space_group_name_H-M 'R 3 m'
_symmetry_Int_Tables_number 160
_symmetry_space_group_name_Hall 'R 3 -2"'
loop_
_atom_site_label
_atom_site_fract_x
_atom_site_fract_y
_atom_site_fract_z
_atom_site_occupancy
Mg1 0.0000 0.0000 0.0000 1
Fe1 0.0000 0.0000 0.2436 1
Fe2 0.0000 0.0000 0.5061 1
As1 0.0000 0.0000 0.7678 1
```

## Properties
Total energy ... -22.52 eV/f.u.
Calculated density ... 5.645 g/cm3
Total magnetic moment ... 4.58 μB per formula unit
Formation energy from the elements ... 0.1633 eV/atom
D(E_F) ... 3.69 states/eV/f.u.